Computed, not measured: Dy2NO after structural relaxation at the PBE-GGA level of DFT. Values from VASP.

Computed properties:
- Space-group type: R-3m
- Magnetization: 0.0 μB per formula unit
- Calculated total energy: -32.0 eV for the cell shown

```
&SYSTEM
  ibrav = 0, nat = 4, ntyp = 3
/
ATOMIC_SPECIES
Dy 162.50 Dy.upf
N 14.01 N.upf
O 16.00 O.upf
CELL_PARAMETERS angstrom
1.7142 0.9897 5.6503
-1.7142 0.9897 5.6503
0.0000 -1.9793 5.6503
ATOMIC_POSITIONS angstrom
Dy 0.0000 0.0000 4.1793
Dy 0.0000 0.0000 12.7716
N 0.0000 0.0000 8.4754
O 0.0000 0.0000 0.0000
```